Computed, not measured: crystalline SrMnO3 at its relaxed geometry at the PBE with a Hubbard U level of DFT.

Structure (CIF):
```
data_SrMnO3
_chemical_formula_sum 'Sr4 Mn4 O12'
_space_group_name_H-M_alt 'I -4 m 2'
_space_group_IT_number 119
_space_group_name_Hall 'I -4 -2'
_cell_length_a 4.061
_cell_length_b 4.061
_cell_length_c 18.251
_cell_angle_alpha 90.00
_cell_angle_beta 90.00
_cell_angle_gamma 90.00
loop_
_atom_site_label
_atom_site_type_symbol
_atom_site_fract_x
_atom_site_fract_y
_atom_site_fract_z
Sr1 Sr 0.000 0.000 0.095
Mn1 Mn 0.000 0.000 0.500
Mn2 Mn 0.000 0.500 0.250
O1 O 0.000 0.197 0.340
O2 O 0.000 0.500 0.510
```

Results
- Total DFT energy (no corrections): -32.1 eV per formula unit
- Volume: 15.05 Å³/atom
- Magnetic moment: 0.9344 μB per atom
- ρ: 4.2 g cm⁻³